Record 1
A relaxed structure of CeSm2Rh3. Source: Alexandria, functional PBE.

```
6
Lattice="4.916 0.000 0.000 -2.458 4.257 0.000 0.000 0.000 6.123" Properties=species:S:1:pos:R:3 pbc="T T T"
Ce 0.000 0.000 0.000
Sm 0.000 2.838 4.054
Sm 2.458 1.419 2.069
Rh 0.000 0.000 3.062
Rh 0.000 2.838 0.875
Rh 2.458 1.419 5.248
```

Computed properties:
Final energy ... -6.949 eV/atom
Energy above the most stable polymorph in this dataset ... 0.0 kJ/mol of atoms
SG ... P-3m1 (164)
Formation energy from the elements ... -0.7113 eV/atom

Record 2
A relaxed structure of CeSm5Rh6. Source: Alexandria, functional PBE.

```
12
Lattice="7.752 -3.532 0.000 7.752 3.532 0.000 -1.564 0.000 4.688" Properties=species:S:1:pos:R:3 pbc="T T T"
Ce 0.000 0.000 0.000
Sm 1.610 0.000 3.149
Sm 4.674 0.000 1.571
Sm 7.752 0.000 0.000
Sm 9.267 0.000 3.116
Sm 12.331 0.000 1.538
Rh 3.974 1.845 3.941
Rh 6.971 1.871 2.344
Rh 9.967 1.845 0.747
Rh 3.974 -1.845 3.941
Rh 6.971 -1.871 2.344
Rh 9.967 -1.845 0.747
```

Computed properties:
Final energy ... -6.856 eV/atom
SG ... C2/m (12)
Formation energy from the elements ... -0.7198 eV/atom

Record 3
A relaxed structure of Ce2SmRh2. Source: Alexandria, functional PBE.

```
10
Lattice="4.867 0.000 0.000 2.425 6.148 0.000 2.412 -0.553 8.121" Properties=species:S:1:pos:R:3 pbc="T T T"
Ce 1.206 0.298 2.769
Ce 3.634 0.713 7.327
Ce 6.070 4.882 0.794
Ce 8.498 5.297 5.352
Sm 3.636 2.886 2.643
Sm 6.068 2.709 5.477
Rh 3.637 0.993 4.728
Rh 3.635 4.510 0.021
Rh 6.068 1.085 8.100
Rh 6.067 4.602 3.393
```

Computed properties:
Final energy ... -6.802 eV/atom
Energy above the most stable polymorph in this dataset ... 0.0 kJ/mol of atoms
SG ... P-1 (2)
Formation energy from the elements ... -0.5442 eV/atom